# TaPd4Au2

A relaxed TaPd4Au2 crystal (PBE, the Alexandria database).

```
14
Lattice="4.8798 0.0000 0.0000 0.0000 4.8798 0.0000 0.0000 0.0000 13.0812" Properties=species:S:1:pos:R:3 pbc="T T T"
Ta 0.0000 0.0000 0.0000
Ta 2.4399 2.4399 6.5406
Pd 0.0000 0.0000 2.3952
Pd 0.0000 0.0000 10.6861
Pd 0.0000 2.4399 0.0000
Pd 0.0000 2.4399 6.5406
Pd 2.4399 0.0000 0.0000
Pd 2.4399 0.0000 6.5406
Pd 2.4399 2.4399 4.1454
Pd 2.4399 2.4399 8.9358
Au 0.0000 0.0000 5.1036
Au 0.0000 0.0000 7.9776
Au 2.4399 2.4399 1.4370
Au 2.4399 2.4399 11.6443
```

Values from the calculation:
* distance to the lowest polymorph of the same formula: 757 meV/atom
* spin magnetization: 0.00 μB per formula unit

***

# TaPdAu3

A relaxed TaPdAu3 crystal (PBE, the Alexandria database).

```
20
Lattice="6.0317 0.0000 0.0000 0.0000 7.7305 0.0000 0.0000 0.0000 7.9349" Properties=species:S:1:pos:R:3 pbc="T T T"
Ta 0.0000 0.0000 0.0000
Ta 0.0000 3.8652 0.0000
Ta 3.0159 0.0000 3.9674
Ta 3.0159 3.8652 3.9674
Pd 1.2970 1.9326 3.9118
Pd 1.7189 5.7978 7.8792
Pd 4.3129 1.9326 0.0556
Pd 4.7347 5.7978 4.0231
Au 0.7373 4.3891 5.3800
Au 0.7373 7.2066 5.3800
Au 1.3690 5.7978 2.8052
Au 1.6468 1.9326 6.7726
Au 2.2785 0.5239 1.4126
Au 2.2785 3.3414 1.4126
Au 3.7532 4.3891 6.5223
Au 3.7532 7.2066 6.5223
Au 4.3849 5.7978 1.1622
Au 4.6627 1.9326 5.1296
Au 5.2944 0.5239 2.5549
Au 5.2944 3.3414 2.5549
```

Values from the calculation:
* distance to the lowest polymorph of the same formula: 59 meV/atom
* spin magnetization: 0.00 μB per formula unit

***

Values of ΔH_f (0 K), in order: 0.592; 0.082, all in eV/atom.